The following is a DFT calculation (PBE) of a relaxed structure of PmEr4Sc4.

Geometry as POSCAR:
```
PmEr4Sc4
1.0
4.8323 0.0000 0.0000
2.4161 7.2396 0.0000
2.4161 0.0000 7.2396
Sc Er Pm
4 4 1
Direct
0.3407 0.6593 0.6593 Sc
0.0000 0.6593 0.3407 Sc
0.6593 0.3407 0.3407 Sc
0.0000 0.3407 0.6593 Sc
0.6692 0.6616 0.0000 Er
0.3308 0.3384 0.0000 Er
0.6692 0.0000 0.6616 Er
0.3308 0.0000 0.3384 Er
0.0000 0.0000 0.0000 Pm
```

Computed properties:
* calculated total energy: -47.85 eV per cell
* distance to the lowest polymorph of the same formula: 0 meV/atom
* total magnetization: 0.000 μB per cell
* energy of formation: 0.05 eV/atom